! Li7Mn3Si2O12 GGA+U relaxed; values from VASP
! E ... -155.97 eV/cell
! Magnetization ... 12.0 μB per formula unit
&SYSTEM
  ibrav = 0, nat = 24, ntyp = 4
/
ATOMIC_SPECIES
Li 6.94 Li.upf
Mn 54.94 Mn.upf
Si 28.09 Si.upf
O 16.00 O.upf
CELL_PARAMETERS angstrom
2.542 -4.231 0.000
2.542 4.231 0.000
-1.164 0.000 9.725
ATOMIC_POSITIONS angstrom
Li 0.000 0.000 0.000
Li 0.961 1.377 2.387
Li 0.391 0.000 7.397
Li 0.961 -1.377 2.387
Li 2.960 1.377 7.338
Li 3.530 0.000 2.327
Li 2.960 -1.377 7.338
Mn 1.961 2.821 4.862
Mn 1.961 0.000 4.862
Mn 1.961 -2.821 4.862
Si 2.542 1.422 0.000
Si 2.542 -1.422 0.000
O 1.603 2.655 0.990
O 0.064 0.000 3.668
O 1.309 1.412 6.032
O 2.318 2.655 8.735
O 1.942 0.000 1.010
O 2.612 1.412 3.693
O 1.309 -1.412 6.032
O 1.979 0.000 8.714
O 1.603 -2.655 0.990
O 2.612 -1.412 3.693
O 3.857 0.000 6.057
O 2.318 -2.655 8.735


! Li3Mn2Si2O8 GGA+U relaxed; values from VASP
! E ... -208.94 eV/cell
! Magnetization ... 9.0 μB per formula unit
&SYSTEM
  ibrav = 0, nat = 30, ntyp = 4
/
ATOMIC_SPECIES
Li 6.94 Li.upf
Mn 54.94 Mn.upf
Si 28.09 Si.upf
O 16.00 O.upf
CELL_PARAMETERS angstrom
6.642 0.000 0.000
0.000 4.963 0.000
-0.415 0.000 10.885
ATOMIC_POSITIONS angstrom
Li 0.000 0.196 0.000
Li -0.207 4.766 5.442
Li 3.057 2.215 8.790
Li 3.264 2.748 3.348
Li 4.897 0.226 2.524
Li 4.690 4.737 7.966
Mn -0.249 2.268 8.946
Mn -0.041 2.695 3.504
Mn 2.788 0.201 10.818
Mn 2.996 4.762 5.376
Si 1.603 0.330 2.597
Si 1.395 4.633 8.040
Si 4.724 2.226 6.161
Si 4.932 2.736 0.718
O 0.030 0.233 8.838
O 0.238 4.730 3.396
O 1.353 0.083 6.472
O 1.560 4.880 1.030
O 1.575 1.974 2.802
O 1.368 2.989 8.244
O 2.804 0.187 8.743
O 3.011 4.776 3.300
O 3.171 2.218 10.825
O 3.378 2.745 5.383
O 4.754 0.577 6.148
O 4.961 4.386 0.706
O 4.992 2.223 2.307
O 4.785 2.739 7.749
O 5.804 2.140 10.770
O 6.012 2.823 5.327


! Li3Mn2Si2O8 GGA+U relaxed; values from VASP
! E ... -209.49 eV/cell
! Magnetization ... 9.0 μB per formula unit
&SYSTEM
  ibrav = 0, nat = 30, ntyp = 4
/
ATOMIC_SPECIES
Li 6.94 Li.upf
Mn 54.94 Mn.upf
Si 28.09 Si.upf
O 16.00 O.upf
CELL_PARAMETERS angstrom
5.151 0.000 0.000
0.000 10.049 0.000
-0.034 0.000 6.795
ATOMIC_POSITIONS angstrom
Li 0.283 0.000 1.689
Li 0.298 2.568 0.402
Li 2.186 3.689 2.016
Li 2.930 8.714 4.779
Li 4.818 7.592 6.393
Li 4.834 5.024 5.106
Mn 0.313 0.456 5.035
Mn 2.432 2.973 5.262
Mn 2.684 7.997 1.533
Mn 4.803 5.480 1.759
Si 0.308 7.726 3.410
Si 2.191 5.933 6.660
Si 2.926 0.909 0.135
Si 4.808 2.701 3.385
O 0.074 6.142 3.634
O 0.228 3.530 2.080
O 0.348 3.101 4.863
O 0.557 5.870 6.667
O 1.917 8.146 3.269
O 2.197 9.830 1.055
O 2.348 2.460 0.404
O 2.401 0.834 5.322
O 2.715 5.858 1.473
O 2.768 7.484 6.391
O 2.919 4.806 5.740
O 3.200 3.122 3.526
O 4.560 0.846 0.128
O 4.768 8.126 1.932
O 4.888 8.555 4.715
O 5.042 1.117 3.161


! Li3Mn2Si2O8 GGA+U relaxed; values from VASP
! E ... -104.48 eV/cell
! Magnetization ... 9.0 μB per formula unit
&SYSTEM
  ibrav = 0, nat = 15, ntyp = 4
/
ATOMIC_SPECIES
Li 6.94 Li.upf
Mn 54.94 Mn.upf
Si 28.09 Si.upf
O 16.00 O.upf
CELL_PARAMETERS angstrom
3.833 -3.611 0.000
3.833 3.611 0.000
-0.156 0.000 6.581
ATOMIC_POSITIONS angstrom
Li 0.000 0.000 0.000
Li 2.247 -1.373 4.963
Li 5.264 -1.373 1.617
Mn 2.394 -1.287 1.750
Mn 5.117 -1.287 4.831
Si 3.755 3.473 3.290
Si 3.833 0.976 0.000
O 2.366 1.995 6.537
O 1.281 -1.054 3.341
O 5.145 1.995 0.044
O 3.685 -0.005 5.272
O 3.826 -0.005 1.309
O 3.708 -2.810 4.666
O 3.803 -2.810 1.915
O 6.230 -1.054 3.240


Q: What is the formula in the fourth record?
A: Li3Mn2Si2O8


Q: The highest E belongs to which entry?
A: number 4


Q: What is the formula in the fourth record?
A: Li3Mn2Si2O8